one:
Entry from Alexandria via LeMat-Bulk: a crystal of CaAl2Cl relaxed with PBEsol (SCAN).

The total magnetization is 0.00 μB per atom. The value obtained for the density of states at the Fermi level is 0.295 states/eV/atom.

Lattice parameters (Å, degrees): 4.296 6.263 3.335 90.00 90.00 90.00
Space group Pmm2 (No. 25)
Symmetry-distinct sites (fractional):
Ca1 0.000 0.000 0.000 x1
Al1 0.000 0.500 0.496 x1
Al2 0.500 0.500 0.997 x1
Cl1 0.500 0.000 0.500 x1

=====

two:
Entry from Alexandria via LeMat-Bulk: a crystal of CaAl2Cl relaxed with PBEsol (SCAN).

The total magnetization is 0.00 μB per atom. The value obtained for the density of states at the Fermi level is 0.377 states/eV/atom.

Lattice parameters (Å, degrees): 3.840 3.840 25.756 90.00 90.00 90.00
Space group I-42d (No. 122)
Symmetry-distinct sites (fractional):
Ca1 0.000 0.000 0.000 x4
Al1 0.240 0.250 0.125 x8
Cl1 0.000 0.000 0.500 x4

=====

What should be chosen as the most stable of them? Choose one.

=====

one:
Entry from Alexandria via LeMat-Bulk: a crystal of CaAl2Cl relaxed with PBEsol (SCAN).

The total magnetization is 0.00 μB per atom. The value obtained for the density of states at the Fermi level is 0.309 states/eV/atom.

Lattice parameters (Å, degrees): 3.698 5.253 9.051 90.00 90.00 90.00
Space group Cmmm (No. 65)
Symmetry-distinct sites (fractional):
Ca1 0.000 0.000 0.000 x2
Al1 0.000 0.500 0.270 x4
Cl1 0.000 0.000 0.500 x2

=====

two:
Entry from Alexandria via LeMat-Bulk: a crystal of CaAl2Cl relaxed with PBEsol (SCAN).

The total magnetization is 0.00 μB per atom. The value obtained for the density of states at the Fermi level is 0.563 states/eV/atom.

Lattice parameters (Å, degrees): 5.423 10.178 3.328 90.00 90.00 90.00
Space group Cmmm (No. 65)
Symmetry-distinct sites (fractional):
Ca1 0.000 0.000 0.000 x2
Al1 0.250 0.250 0.500 x4
Cl1 0.000 0.500 0.000 x2

=====

three:
Entry from Alexandria via LeMat-Bulk: a crystal of CaAl2Cl relaxed with PBEsol (SCAN).

The total magnetization is 0.00 μB per atom. The value obtained for the density of states at the Fermi level is 0.301 states/eV/atom.

Lattice parameters (Å, degrees): 12.545 3.353 4.289 90.00 93.07 90.00
Space group C2/m (No. 12)
Symmetry-distinct sites (fractional):
Ca1 0.000 0.000 0.000 x2
Al1 0.237 0.500 0.239 x4
Cl1 0.000 0.500 0.500 x2

=====

What should be chosen as the most stable of them? Choose three.